(1)
Entry from Alexandria via LeMat-Bulk: In2FeSb at its PBEsol-relaxed geometry (meta-GGA SCAN).

```
In2FeSb
1.0
4.4235 0.0000 0.0000
0.0000 4.4235 0.0000
-2.2117 -2.2117 4.3062
In Fe Sb
2 1 1
direct
0.0000 0.0000 0.0000
0.2500 0.7500 0.5000
0.7500 0.2500 0.5000
0.5000 0.5000 0.0000
```

As for the space group: I-4m2. The final energy is -30.134 eV per atom. For the uncorrected formation energy, the calculation gives 406.7 meV/atom.

---

(2)
Entry from Alexandria via LeMat-Bulk: KRe2Sb at its PBEsol-relaxed geometry (meta-GGA SCAN).

```
KRe2Sb
1.0
-0.2294 -2.6485 1.6117
0.3521 -0.7942 -4.2533
7.5815 0.2285 1.4545
Re K Sb
2 1 1
direct
0.2536 0.5072 0.7879
0.9783 0.9565 0.8971
0.7509 0.5018 0.2346
0.5172 0.0345 0.5804
```

As for the space group: Cm. The final energy is -46.416 eV per atom. For the uncorrected formation energy, the calculation gives 530.1 meV/atom.

---

(3)
Entry from Alexandria via LeMat-Bulk: BeCo2Os at its PBEsol-relaxed geometry (meta-GGA SCAN).

```
BeCo2Os
1.0
2.5773 0.0000 0.0000
0.0000 2.5773 0.0000
0.0000 0.0000 6.1593
Os Co Be
1 2 1
direct
0.5000 0.5000 0.0000
0.0000 0.0000 0.2867
0.0000 0.0000 0.7133
0.5000 0.5000 0.5000
```

As for the space group: P4/mmm. The final energy is -27.735 eV per atom. The value obtained for the formation energy is -0.02 eV per atom.

---

(4)
Entry from Alexandria via LeMat-Bulk: BaMgGa2 at its PBEsol-relaxed geometry (meta-GGA SCAN).

```
BaMgGa2
1.0
4.5578 -0.0342 0.0000
-2.2352 6.4308 0.0000
0.0000 0.0000 7.1690
Ga Mg Ba
4 2 2
direct
0.6510 0.3032 0.9286
0.3490 0.6968 0.4286
0.3490 0.6968 0.0714
0.6510 0.3032 0.5714
0.7722 0.5432 0.2500
0.2278 0.4568 0.7500
0.9425 0.8844 0.7500
0.0575 0.1156 0.2500
```

As for the space group: P2_1/m. The final energy is -19.662 eV per atom. The value obtained for the formation energy is -0.36 eV per atom.

---

(5)
Entry from Alexandria via LeMat-Bulk: YSc2Re at its PBEsol-relaxed geometry (meta-GGA SCAN).

```
YSc2Re
1.0
3.0280 0.0000 0.0000
1.5140 2.6224 0.0000
1.5140 0.8741 10.6414
Re Y Sc
1 1 2
direct
0.0000 0.0000 0.0000
0.5000 0.5000 0.5000
0.0788 0.0788 0.7635
0.9212 0.9212 0.2365
```

As for the space group: R-3m. The final energy is -31.158 eV per atom. The energy above the most stable polymorph in this dataset comes out at 0.6223 eV/atom. The value obtained for the formation energy is 0.70 eV per atom.

---

(6)
Entry from Alexandria via LeMat-Bulk: LiAgRh2 at its PBEsol-relaxed geometry (meta-GGA SCAN).

```
LiAgRh2
1.0
-0.9897 -0.7335 -2.3528
-2.1893 -3.4042 2.2200
-2.0355 4.8327 0.7297
Ag Rh Li
1 2 1
direct
0.5000 0.0000 0.0000
0.5000 0.5000 0.5000
0.0000 0.0000 0.5000
0.0000 0.5000 0.0000
```

As for the space group: C2/m. The final energy is -25.284 eV per atom. The energy above the most stable polymorph in this dataset comes out at 0.0000 eV/atom. The value obtained for the formation energy is 0.04 eV per atom.

---

Total moment values, unit μB per formula unit, following the record order: 3.0; 0.3; 0.0; 0.0; 0.0; 0.0.